5
Lattice="-1.3761 4.4971 -1.4483 -2.5552 0.5604 4.1680 4.3386 2.0936 2.3783" Properties=species:S:1:pos:R:3 comment="BaGa2TcHg | the Alexandria database | PBE-GGA | relaxed" vol_a3_per_atom=26.019 ef_ev_per_atom=-0.256 spacegroup=P4/mmm final_energy_ev_per_cell=-19.9 pbc="T T T"
Tc 0.0000 0.0000 0.0000
Hg 2.1693 1.0468 1.1892
Ga -1.2776 0.2802 2.0840
Ga -0.6881 2.2485 -0.7242
Ba 0.2036 3.5756 2.5490